Here is a relaxed structure of BaHfMg from OQMD via LeMat-Bulk. Energies are from PBE.

abc: 7.425 7.425 7.425
angles: 90.00 90.00 90.00
Sites, in units of the cell vectors:
Ba (0.000, 0.000, 0.000)
Ba (0.000, 0.500, 0.500)
Ba (0.500, 0.000, 0.500)
Ba (0.500, 0.500, 0.000)
Hf (0.250, 0.250, 0.750)
Hf (0.250, 0.750, 0.250)
Hf (0.750, 0.250, 0.250)
Hf (0.750, 0.750, 0.750)
Mg (0.250, 0.250, 0.250)
Mg (0.250, 0.750, 0.750)
Mg (0.750, 0.250, 0.750)
Mg (0.750, 0.750, 0.250)

Total DFT energy (no corrections): -3.14 eV/atom
Space-group type: F-43m (216)

***

Here is a relaxed structure of BaHfMgNi from OQMD via LeMat-Bulk. Energies are from PBE.

abc: 7.297 7.297 7.297
angles: 90.00 90.00 90.00
Sites, in units of the cell vectors:
Ba (0.000, 0.000, 0.000)
Ba (0.000, 0.500, 0.500)
Ba (0.500, 0.000, 0.500)
Ba (0.500, 0.500, 0.000)
Hf (0.000, 0.000, 0.500)
Hf (0.000, 0.500, 0.000)
Hf (0.500, 0.000, 0.000)
Hf (0.500, 0.500, 0.500)
Mg (0.250, 0.250, 0.750)
Mg (0.250, 0.750, 0.250)
Mg (0.750, 0.250, 0.250)
Mg (0.750, 0.750, 0.750)
Ni (0.250, 0.250, 0.250)
Ni (0.250, 0.750, 0.750)
Ni (0.750, 0.250, 0.750)
Ni (0.750, 0.750, 0.250)

Total DFT energy (no corrections): -4.23 eV/atom
Space-group type: F-43m (216)

***

Here is a relaxed structure of BaHfMgNi from OQMD via LeMat-Bulk. Energies are from PBE.

abc: 7.081 7.081 7.081
angles: 90.00 90.00 90.00
Sites, in units of the cell vectors:
Ba (0.000, 0.000, 0.000)
Ba (0.000, 0.500, 0.500)
Ba (0.500, 0.000, 0.500)
Ba (0.500, 0.500, 0.000)
Hf (0.250, 0.250, 0.750)
Hf (0.250, 0.750, 0.250)
Hf (0.750, 0.250, 0.250)
Hf (0.750, 0.750, 0.750)
Mg (0.250, 0.250, 0.250)
Mg (0.250, 0.750, 0.750)
Mg (0.750, 0.250, 0.750)
Mg (0.750, 0.750, 0.250)
Ni (0.000, 0.000, 0.500)
Ni (0.000, 0.500, 0.000)
Ni (0.500, 0.000, 0.000)
Ni (0.500, 0.500, 0.500)

Total DFT energy (no corrections): -4.20 eV/atom
Space-group type: F-43m (216)

***

Here is a relaxed structure of BaHfMgNi from OQMD via LeMat-Bulk. Energies are from PBE.

abc: 7.148 7.148 7.148
angles: 90.00 90.00 90.00
Sites, in units of the cell vectors:
Ba (0.000, 0.000, 0.000)
Ba (0.000, 0.500, 0.500)
Ba (0.500, 0.000, 0.500)
Ba (0.500, 0.500, 0.000)
Hf (0.250, 0.250, 0.250)
Hf (0.250, 0.750, 0.750)
Hf (0.750, 0.250, 0.750)
Hf (0.750, 0.750, 0.250)
Mg (0.000, 0.000, 0.500)
Mg (0.000, 0.500, 0.000)
Mg (0.500, 0.000, 0.000)
Mg (0.500, 0.500, 0.500)
Ni (0.250, 0.250, 0.750)
Ni (0.250, 0.750, 0.250)
Ni (0.750, 0.250, 0.250)
Ni (0.750, 0.750, 0.750)

Total DFT energy (no corrections): -4.08 eV/atom
Space-group type: F-43m (216)

***

Please write out number 4 again, unchanged.
Here is a relaxed structure of BaHfMgNi from OQMD via LeMat-Bulk. Energies are from PBE.

abc: 7.148 7.148 7.148
angles: 90.00 90.00 90.00
Sites, in units of the cell vectors:
Ba (0.000, 0.000, 0.000)
Ba (0.000, 0.500, 0.500)
Ba (0.500, 0.000, 0.500)
Ba (0.500, 0.500, 0.000)
Hf (0.250, 0.250, 0.250)
Hf (0.250, 0.750, 0.750)
Hf (0.750, 0.250, 0.750)
Hf (0.750, 0.750, 0.250)
Mg (0.000, 0.000, 0.500)
Mg (0.000, 0.500, 0.000)
Mg (0.500, 0.000, 0.000)
Mg (0.500, 0.500, 0.500)
Ni (0.250, 0.250, 0.750)
Ni (0.250, 0.750, 0.250)
Ni (0.750, 0.250, 0.250)
Ni (0.750, 0.750, 0.750)

Total DFT energy (no corrections): -4.08 eV/atom
Space-group type: F-43m (216)

***

> Which formula does entry 1 have?

BaHfMg